[1]
## Sm2BeCd (PBE-GGA)

Data for crystalline Sm2BeCd at its relaxed geometry.

## Properties
The formation energy is 0.63 eV/atom. The size of the total moment comes out at 0.00 μB per formula unit. The relative energy among the computed polymorphs comes out at 721 meV/atom.

Unit cell a=3.379 b=3.379 c=33.682 alpha=90.00 beta=90.00 gamma=120.00
Sites, in units of the cell vectors:
Sm 0.000 0.000 0.088
Sm 0.000 0.000 0.912
Sm 0.333 0.667 0.579
Sm 0.333 0.667 0.755
Sm 0.667 0.333 0.245
Sm 0.667 0.333 0.421
Be 0.000 0.000 0.000
Be 0.333 0.667 0.667
Be 0.667 0.333 0.333
Cd 0.000 0.000 0.500
Cd 0.333 0.667 0.167
Cd 0.667 0.333 0.833

---

[2]
## Sm2BeCd (PBE-GGA)

Data for crystalline Sm2BeCd at its relaxed geometry.

## Properties
The formation energy is -0.09 eV/atom. The size of the total moment comes out at 0.00 μB per formula unit. The relative energy among the computed polymorphs comes out at 0 meV/atom.

Unit cell a=3.565 b=3.565 c=7.606 alpha=90.00 beta=90.00 gamma=90.00
Sites, in units of the cell vectors:
Sm 0.000 0.000 0.218
Sm 0.000 0.000 0.782
Be 0.500 0.500 0.000
Cd 0.500 0.500 0.500

---

[3]
## SmBeCd (PBE-GGA)

Data for crystalline SmBeCd at its relaxed geometry.

## Properties
The formation energy is 0.12 eV/atom. The size of the total moment comes out at 0.00 μB per formula unit.

Unit cell a=4.954 b=15.375 c=3.372 alpha=90.00 beta=90.00 gamma=90.00
Sites, in units of the cell vectors:
Sm 0.000 0.092 0.250
Sm 0.000 0.908 0.750
Sm 0.500 0.408 0.750
Sm 0.500 0.592 0.250
Be 0.000 0.454 0.250
Be 0.000 0.546 0.750
Be 0.500 0.046 0.750
Be 0.500 0.954 0.250
Cd 0.000 0.284 0.750
Cd 0.000 0.716 0.250
Cd 0.500 0.216 0.250
Cd 0.500 0.784 0.750

---

[4]
## Sm2BeCd (PBE-GGA)

Data for crystalline Sm2BeCd at its relaxed geometry.

## Properties
The formation energy is -0.01 eV/atom. The size of the total moment comes out at 0.01 μB per formula unit. The relative energy among the computed polymorphs comes out at 83 meV/atom.

Unit cell a=7.346 b=7.346 c=7.346 alpha=90.00 beta=90.00 gamma=90.00
Sites, in units of the cell vectors:
Sm 0.250 0.250 0.250
Sm 0.250 0.250 0.750
Sm 0.250 0.750 0.250
Sm 0.250 0.750 0.750
Sm 0.750 0.250 0.250
Sm 0.750 0.250 0.750
Sm 0.750 0.750 0.250
Sm 0.750 0.750 0.750
Be 0.000 0.000 0.000
Be 0.000 0.500 0.500
Be 0.500 0.000 0.500
Be 0.500 0.500 0.000
Cd 0.000 0.000 0.500
Cd 0.000 0.500 0.000
Cd 0.500 0.000 0.000
Cd 0.500 0.500 0.500

---

[5]
## TbSmBeCd (PBE-GGA)

Data for crystalline TbSmBeCd at its relaxed geometry.

## Properties
The formation energy is -0.02 eV/atom. The size of the total moment comes out at 0.00 μB per formula unit.

Unit cell a=7.292 b=7.292 c=7.292 alpha=90.00 beta=90.00 gamma=90.00
Sites, in units of the cell vectors:
Tb 0.000 0.000 0.000
Tb 0.000 0.500 0.500
Tb 0.500 0.000 0.500
Tb 0.500 0.500 0.000
Sm 0.000 0.000 0.500
Sm 0.000 0.500 0.000
Sm 0.500 0.000 0.000
Sm 0.500 0.500 0.500
Be 0.250 0.250 0.250
Be 0.250 0.750 0.750
Be 0.750 0.250 0.750
Be 0.750 0.750 0.250
Cd 0.250 0.250 0.750
Cd 0.250 0.750 0.250
Cd 0.750 0.250 0.250
Cd 0.750 0.750 0.750

---

[6]
## SmBeZnCd (PBE-GGA)

Data for crystalline SmBeZnCd at its relaxed geometry.

## Properties
The formation energy is -0.09 eV/atom. The size of the total moment comes out at 0.00 μB per formula unit.

Unit cell a=6.711 b=6.711 c=6.711 alpha=90.00 beta=90.00 gamma=90.00
Sites, in units of the cell vectors:
Sm 0.000 0.000 0.000
Sm 0.000 0.500 0.500
Sm 0.500 0.000 0.500
Sm 0.500 0.500 0.000
Be 0.250 0.250 0.750
Be 0.250 0.750 0.250
Be 0.750 0.250 0.250
Be 0.750 0.750 0.750
Zn 0.250 0.250 0.250
Zn 0.250 0.750 0.750
Zn 0.750 0.250 0.750
Zn 0.750 0.750 0.250
Cd 0.000 0.000 0.500
Cd 0.000 0.500 0.000
Cd 0.500 0.000 0.000
Cd 0.500 0.500 0.500